Entry 1:
# YLuGe2

A geometry-optimized YLuGe2 structure (GGA-PBE, Alexandria).

Output
Raw total energy ... -5.641 eV/atom
Formation enthalpy at 0 K ... -0.586 eV per atom
Calculated density ... 7.63 g/cm³

abc: 3.228 5.254 5.254
angles: 90.00 90.00 90.00
Positions (direct):
Y1 0.500 0.500 0.500
Ge1 0.000 0.000 0.500
Ge2 0.000 0.500 0.000
Lu1 0.500 0.000 0.000

---

Entry 2:
# ErNb2ReC4

A geometry-optimized ErNb2ReC4 structure (GGA-PBE, Alexandria).

Output
Raw total energy ... -9.466 eV/atom
Formation enthalpy at 0 K ... -0.210 eV per atom
Calculated density ... 9.46 g/cm³

abc: 3.230 5.902 11.246
angles: 90.00 90.00 105.88
Positions (direct):
Er1 0.113 0.226 0.750
Er2 0.887 0.774 0.250
Nb1 0.370 0.741 0.534
Nb2 0.630 0.259 0.034
Nb3 0.630 0.259 0.466
Nb4 0.370 0.741 0.966
Re1 0.848 0.696 0.750
Re2 0.152 0.304 0.250
C1 0.263 0.527 0.117
C2 0.737 0.473 0.617
C3 0.737 0.473 0.883
C4 0.263 0.527 0.383
C5 0.000 0.000 0.500
C6 0.000 0.000 0.000
C7 0.451 0.902 0.750
C8 0.549 0.098 0.250

---

Entry 3:
# MnBeAl2N

A geometry-optimized MnBeAl2N structure (GGA-PBE, Alexandria).

Output
Raw total energy ... -4.240 eV/atom
Calculated density ... 2.51 g/cm³
Energy relative to the elements, uncorrected ... 1501 meV/atom

abc: 4.644 4.052 4.644
angles: 90.00 90.00 90.00
Positions (direct):
Be1 0.000 0.500 0.000
Mn1 0.000 0.000 0.000
Al1 0.000 0.000 0.500
Al2 0.500 0.000 0.000
N1 0.500 0.500 0.500

---

Entry 4:
# NdAlGe

A geometry-optimized NdAlGe structure (GGA-PBE, Alexandria).

Output
Raw total energy ... -4.555 eV/atom
Formation enthalpy at 0 K ... -0.179 eV per atom
Calculated density ... 5.38 g/cm³

abc: 4.228 4.228 5.166
angles: 114.15 114.15 90.00
Positions (direct):
Ge1 0.633 0.633 0.266
Nd1 0.286 0.286 0.572
Al1 0.931 0.931 0.862

---

Entry 5:
# CuSi2F8

A geometry-optimized CuSi2F8 structure (GGA-PBE, Alexandria).

Output
Raw total energy ... -5.224 eV/atom
Calculated density ... 2.25 g/cm³
Energy relative to the elements, uncorrected ... -2505 meV/atom

abc: 4.755 6.610 6.610
angles: 78.73 82.56 82.56
Positions (direct):
Cu1 0.000 0.000 0.000
Si1 0.584 0.740 0.740
Si2 0.416 0.260 0.260
F1 0.334 0.337 0.030
F2 0.666 0.970 0.663
F3 0.252 0.734 0.734
F4 0.748 0.266 0.266
F5 0.334 0.030 0.337
F6 0.666 0.663 0.970
F7 0.750 0.593 0.593
F8 0.250 0.407 0.407

---

Entry 6:
# Sc4Sb2PS

A geometry-optimized Sc4Sb2PS structure (GGA-PBE, Alexandria).

Output
Raw total energy ... -6.681 eV/atom
Calculated density ... 4.66 g/cm³
Energy relative to the elements, uncorrected ... -1292 meV/atom

abc: 3.901 6.944 6.753
angles: 71.17 90.00 90.00
Positions (direct):
Sc1 0.000 0.721 0.756
Sc2 0.000 0.279 0.244
Sc3 0.500 0.719 0.263
Sc4 0.500 0.281 0.737
Sb1 0.000 0.000 0.000
Sb2 0.500 0.000 0.500
P1 0.000 0.500 0.500
S1 0.500 0.500 0.000